# 1
Th2GePt2Rh4: optimized geometry, PBE.

N(E_F) = 0.1892 states/eV/atom
total magnetic moment = 0.0 μB/cell

Cell: 6.153 6.153 6.153 Å, 119.38 119.38 91.08°
Element x y z (fractional)
Th (0.250, 0.750, 0.500)
Th (0.750, 0.250, 0.500)
Ge (0.000, 0.000, 0.000)
Pt (0.278, 0.278, 0.000)
Pt (0.722, 0.722, 0.000)
Rh (0.270, 0.270, 0.541)
Rh (0.270, 0.730, 0.000)
Rh (0.730, 0.270, 0.000)
Rh (0.730, 0.730, 0.459)

---

# 2
ThGePtRh: optimized geometry, PBE.

N(E_F) = 0.6990 states/eV/atom
total magnetic moment = 0.0 μB/cell

Cell: 4.057 4.057 9.715 Å, 90.00 90.00 90.00°
Element x y z (fractional)
Th (0.250, 0.250, 0.221)
Th (0.750, 0.750, 0.779)
Ge (0.250, 0.250, 0.644)
Ge (0.750, 0.750, 0.356)
Pt (0.250, 0.250, 0.909)
Pt (0.750, 0.750, 0.091)
Rh (0.250, 0.750, 0.500)
Rh (0.750, 0.250, 0.500)

---

# 3
ThGePtRh2: optimized geometry, PBE.

N(E_F) = 0.6551 states/eV/atom
total magnetic moment = 0.0 μB/cell

Cell: 6.748 6.748 6.748 Å, 127.89 127.89 76.80°
Element x y z (fractional)
Th (0.000, 0.500, 0.500)
Th (0.500, 0.000, 0.500)
Ge (0.349, 0.349, 0.000)
Ge (0.849, 0.849, 0.000)
Pt (0.079, 0.079, 0.000)
Pt (0.579, 0.579, 0.000)
Rh (0.074, 0.574, 0.156)
Rh (0.419, 0.919, 0.844)
Rh (0.574, 0.419, 0.500)
Rh (0.919, 0.074, 0.500)

---

# 4
ThGe2Pt2Rh: optimized geometry, PBE.

N(E_F) = 0.4168 states/eV/atom
total magnetic moment = 0.0 μB/cell

Cell: 4.339 4.339 6.751 Å, 90.00 90.00 120.00°
Element x y z (fractional)
Th (0.000, 0.000, 0.000)
Ge (0.333, 0.667, 0.324)
Ge (0.667, 0.333, 0.676)
Pt (0.333, 0.667, 0.723)
Pt (0.667, 0.333, 0.277)
Rh (0.000, 0.000, 0.500)

---

# 5
Th2Ge3PtRh4: optimized geometry, PBE.

N(E_F) = 0.4875 states/eV/atom
total magnetic moment = 0.0 μB/cell

Cell: 4.060 4.060 11.394 Å, 90.00 90.00 90.00°
Element x y z (fractional)
Th (0.000, 0.500, 0.232)
Th (0.500, 0.000, 0.768)
Ge (0.000, 0.000, 0.000)
Ge (0.000, 0.500, 0.621)
Ge (0.500, 0.000, 0.379)
Pt (0.500, 0.500, 0.000)
Rh (0.000, 0.000, 0.500)
Rh (0.000, 0.500, 0.833)
Rh (0.500, 0.000, 0.167)
Rh (0.500, 0.500, 0.500)

---

# 6
Th2Ge4PtRh3: optimized geometry, PBE.

N(E_F) = 0.6839 states/eV/atom
total magnetic moment = 0.0 μB/cell

Cell: 4.265 4.265 10.251 Å, 90.00 90.00 90.00°
Element x y z (fractional)
Th (0.000, 0.500, 0.246)
Th (0.500, 0.000, 0.754)
Ge (0.000, 0.000, 0.000)
Ge (0.000, 0.500, 0.638)
Ge (0.500, 0.000, 0.362)
Ge (0.500, 0.500, 0.000)
Pt (0.000, 0.000, 0.500)
Rh (0.000, 0.500, 0.875)
Rh (0.500, 0.000, 0.125)
Rh (0.500, 0.500, 0.500)

---

# 7
Th4Ge3PtRh12: optimized geometry, PBE.

N(E_F) = 0.4796 states/eV/atom
total magnetic moment = 0.0 μB/cell

Cell: 8.051 8.051 8.051 Å, 109.47 109.47 109.47°
Element x y z (fractional)
Th (0.000, 0.000, 0.500)
Th (0.000, 0.500, 0.000)
Th (0.500, 0.000, 0.000)
Th (0.500, 0.500, 0.500)
Ge (0.000, 0.500, 0.500)
Ge (0.500, 0.000, 0.500)
Ge (0.500, 0.500, 0.000)
Pt (0.000, 0.000, 0.000)
Rh (0.000, 0.262, 0.262)
Rh (0.000, 0.738, 0.738)
Rh (0.250, 0.500, 0.750)
Rh (0.250, 0.750, 0.500)
Rh (0.262, 0.000, 0.262)
Rh (0.262, 0.262, 0.000)
Rh (0.500, 0.250, 0.750)
Rh (0.500, 0.750, 0.250)
Rh (0.738, 0.000, 0.738)
Rh (0.738, 0.738, 0.000)
Rh (0.750, 0.250, 0.500)
Rh (0.750, 0.500, 0.250)

---

# 8
Th2Ge4Pt3Rh: optimized geometry, PBE.

N(E_F) = 0.6349 states/eV/atom
total magnetic moment = 0.0 μB/cell

Cell: 4.328 4.328 10.212 Å, 90.00 90.00 90.00°
Element x y z (fractional)
Th (0.000, 0.500, 0.243)
Th (0.500, 0.000, 0.757)
Ge (0.000, 0.000, 0.500)
Ge (0.000, 0.500, 0.868)
Ge (0.500, 0.000, 0.132)
Ge (0.500, 0.500, 0.500)
Pt (0.000, 0.000, 0.000)
Pt (0.000, 0.500, 0.627)
Pt (0.500, 0.000, 0.373)
Rh (0.500, 0.500, 0.000)

---

no.,mass density (g/cm3),E_tot (Ha/atom)
1,13.37,-0.28159
2,12.52,-0.26883
3,12.61,-0.27268
4,13.13,-0.25160
5,11.39,-0.26708
6,11.21,-0.25858
7,10.65,-0.26211
8,12.52,-0.25006